w.
Below is AlInSi2 after structural relaxation, with properties calculated at the PBEsol level.

Structure (POSCAR):
```
AlInSi2
1.0
2.777 0.000 0.000
0.000 3.597 0.000
0.000 0.000 7.399
Al In Si
1 1 2
Direct
0.000 0.000 0.000
0.500 0.500 0.285
0.500 0.000 0.583
0.500 0.500 0.806
```

Values from the calculation:
Spin magnetization = 0.000 μB per atom
Space group = Pmm2
ρ = 4.449 g cm⁻³


x.
Below is AlInSi2 after structural relaxation, with properties calculated at the PBEsol level.

Structure (POSCAR):
```
AlInSi2
1.0
3.236 0.000 0.000
0.000 3.236 0.000
0.000 0.000 6.891
Al In Si
1 1 2
Direct
0.000 0.000 0.000
0.500 0.500 0.307
0.000 0.000 0.616
0.500 0.500 0.778
```

Values from the calculation:
Spin magnetization = 0.000 μB per atom
Space group = P4mm
ρ = 4.555 g cm⁻³


Which structure is the least stable? The one labeled x.


w.
Below is SrAl2In after structural relaxation, with properties calculated at the PBEsol level.

Structure (POSCAR):
```
SrAl2In
1.0
1.783 1.030 9.482
-1.783 1.030 9.482
0.000 -2.059 9.482
Sr Al In
1 2 1
Direct
0.000 0.000 0.000
0.241 0.241 0.241
0.759 0.759 0.759
0.500 0.500 0.500
```

Values from the calculation:
Spin magnetization = 0.000 μB per atom
Space group = R-3m
ρ = 4.076 g cm⁻³


x.
Below is SrAl2In after structural relaxation, with properties calculated at the PBEsol level.

Structure (POSCAR):
```
SrAl2In
1.0
3.971 -2.286 0.000
3.971 2.286 0.000
-2.632 0.000 5.724
Sr Al In
1 2 1
Direct
0.000 0.000 0.000
0.218 0.218 0.653
0.782 0.782 0.347
0.500 0.500 0.500
```

Values from the calculation:
Spin magnetization = 0.000 μB per atom
Space group = C2/m
ρ = 4.096 g cm⁻³


Which structure is the least stable? The one labeled w.


w.
Below is Al2InTe after structural relaxation, with properties calculated at the PBEsol level.

Structure (POSCAR):
```
Al2InTe
1.0
-3.165 3.165 6.070
3.165 -3.165 6.070
3.165 3.165 -6.070
Al In Te
4 2 2
Direct
0.116 0.625 0.991
0.375 0.366 0.491
0.634 0.125 0.009
0.875 0.884 0.509
0.000 0.000 0.000
0.750 0.250 0.500
0.250 0.750 0.500
0.500 0.500 0.000
```

Values from the calculation:
Spin magnetization = 0.000 μB per atom
Space group = I-42d
ρ = 4.046 g cm⁻³


x.
Below is Al2InTe after structural relaxation, with properties calculated at the PBEsol level.

Structure (POSCAR):
```
Al2InTe
1.0
1.914 1.105 7.547
-1.914 1.105 7.547
0.000 -2.210 7.547
Al In Te
2 1 1
Direct
0.000 0.000 0.000
0.258 0.258 0.258
0.507 0.507 0.507
0.740 0.740 0.740
```

Values from the calculation:
Spin magnetization = 0.000 μB per atom
Space group = R3m
ρ = 5.137 g cm⁻³


Which structure is the least stable? The one labeled w.


w.
Below is AlTl2In after structural relaxation, with properties calculated at the PBEsol level.

Structure (POSCAR):
```
AlTl2In
1.0
3.362 0.000 0.000
0.000 3.575 0.000
0.000 0.000 8.311
Al Tl In
1 2 1
Direct
0.000 0.000 0.000
0.000 0.000 0.476
0.500 0.500 0.771
0.500 0.500 0.205
```

Values from the calculation:
Spin magnetization = 0.000 μB per atom
Space group = Pmm2
ρ = 9.153 g cm⁻³


x.
Below is AlTl2In after structural relaxation, with properties calculated at the PBEsol level.

Structure (POSCAR):
```
AlTl2In
1.0
3.595 0.000 0.000
0.000 3.595 0.000
0.000 0.000 7.719
Al Tl In
1 2 1
Direct
0.000 0.000 0.000
0.500 0.500 0.230
0.500 0.500 0.770
0.000 0.000 0.500
```

Values from the calculation:
Spin magnetization = 0.000 μB per atom
Space group = P4/mmm
ρ = 9.163 g cm⁻³


Which structure is the least stable? The one labeled x.


w.
Below is AlInW2 after structural relaxation, with properties calculated at the PBEsol level.

Structure (POSCAR):
```
AlInW2
1.0
0.000 3.193 3.193
3.193 0.000 3.193
3.193 3.193 0.000
Al In W
1 1 2
Direct
0.000 0.000 0.000
0.750 0.750 0.750
0.250 0.250 0.250
0.500 0.500 0.500
```

Values from the calculation:
Spin magnetization = 0.000 μB per atom
Space group = F-43m
ρ = 12.994 g cm⁻³


x.
Below is AlInW2 after structural relaxation, with properties calculated at the PBEsol level.

Structure (POSCAR):
```
AlInW2
1.0
2.786 0.000 0.000
0.000 4.440 0.000
-1.085 0.000 5.339
Al In W
1 1 2
Direct
0.000 0.000 0.000
0.500 0.000 0.500
0.260 0.500 0.767
0.740 0.500 0.233
```

Values from the calculation:
Spin magnetization = 0.000 μB per atom
Space group = P2/m
ρ = 12.809 g cm⁻³


Which structure is the least stable? The one labeled w.


w.
Below is AlInW after structural relaxation, with properties calculated at the PBEsol level.

Structure (POSCAR):
```
AlInW
1.0
-1.409 1.409 6.625
1.409 -1.409 6.625
1.409 1.409 -6.625
Al In W
1 1 1
Direct
0.000 0.000 0.000
0.685 0.685 0.000
0.356 0.356 0.000
```

Values from the calculation:
Spin magnetization = 0.000 μB per atom
Space group = I4mm
ρ = 10.274 g cm⁻³


x.
Below is AlInW after structural relaxation, with properties calculated at the PBEsol level.

Structure (POSCAR):
```
AlInW
1.0
2.940 0.000 0.000
-1.470 2.546 0.000
0.000 0.000 6.998
Al In W
1 1 1
Direct
0.000 0.000 0.000
0.333 0.667 0.646
0.667 0.333 0.302
```

Values from the calculation:
Spin magnetization = 0.000 μB per atom
Space group = P3m1
ρ = 10.325 g cm⁻³


Which structure is the least stable? The one labeled w.